Record 1
The following is a GGA-PBE calculation of ZrTl2Ni after structural relaxation, from Alexandria via LeMat-Bulk.

a b c (Å): 8.9017 8.9017 8.9017
angles (deg): 21.73 21.73 21.73
Last column: nearest neighbours and their distance in Å.
Atoms (fractional coordinates):
1 Ni 0.7500 0.7500 0.7500  6 Tl 2.69
2 Tl 0.0116 0.0116 0.0116  3 Ni 2.69
3 Tl 0.4884 0.4884 0.4884  3 Ni 2.69
4 Zr 0.2500 0.2500 0.2500  6 Tl 3.14, 6 Zr 3.36

## Properties
Formation energy from the elements: 219.9 meV/atom
Space-group type: R-3m, No. 166


Record 2
The following is a GGA-PBE calculation of CrCu7 after structural relaxation, from Alexandria via LeMat-Bulk.

a b c (Å): 5.1914 5.1914 5.1914
angles (deg): 60.00 60.00 60.00
Last column: nearest neighbours and their distance in Å.
Atoms (fractional coordinates):
1 Cr 0.0000 0.0000 0.0000  12 Cu 2.60
2 Cu 0.5000 0.0000 0.0000  2 Cr 2.60, 10 Cu 2.60
3 Cu 0.0000 0.0000 0.5000  2 Cr 2.60, 10 Cu 2.60
4 Cu 0.5000 0.0000 0.5000  2 Cr 2.60, 10 Cu 2.60
5 Cu 0.0000 0.5000 0.0000  2 Cr 2.60, 10 Cu 2.60
6 Cu 0.5000 0.5000 0.0000  2 Cr 2.60, 10 Cu 2.60
7 Cu 0.0000 0.5000 0.5000  2 Cr 2.60, 10 Cu 2.60
8 Cu 0.5000 0.5000 0.5000  12 Cu 2.60

## Properties
Formation energy from the elements: 109.3 meV/atom
Space-group type: Fm-3m, No. 225